[1]
# DyErCu2

Crystalline DyErCu2 at its relaxed geometry (PBE-GGA, Alexandria).

Energy in eV per formula unit: -18.412
Crystal system: cubic
Spin magnetization in μB/f.u.: 0.00
ΔH_f (0 K) in eV per atom: -0.26

Structure (CIF):
```
data_DyErCu2
_chemical_formula_sum 'Dy4 Er4 Cu8'
_cell_length_a 6.9046
_cell_length_b 6.9046
_cell_length_c 6.9046
_cell_angle_alpha 90.00
_cell_angle_beta 90.00
_cell_angle_gamma 90.00
_symmetry_space_group_name_H-M 'F m -3 m'
_symmetry_Int_Tables_number 225
_symmetry_space_group_name_Hall '-F 4 2 3'
loop_
_atom_site_label
_atom_site_fract_x
_atom_site_fract_y
_atom_site_fract_z
_atom_site_occupancy
Dy1 0.0000 0.0000 0.0000 1
Er1 0.0000 0.0000 0.5000 1
Cu1 0.2500 0.2500 0.2500 1
```

[2]
# SnSbNF2

Crystalline SnSbNF2 at its relaxed geometry (PBE-GGA, Alexandria).

Energy in eV per formula unit: -23.154
Crystal system: tetragonal
Spin magnetization in μB/f.u.: 0.00
Offset from the most stable computed form in eV/atom: 0.0000

Structure (CIF):
```
data_SnSbNF2
_chemical_formula_sum 'Sn1 Sb1 N1 F2'
_cell_length_a 4.5286
_cell_length_b 4.5286
_cell_length_c 4.2334
_cell_angle_alpha 90.00
_cell_angle_beta 90.00
_cell_angle_gamma 90.00
_symmetry_space_group_name_H-M 'P 4/m m m'
_symmetry_Int_Tables_number 123
_symmetry_space_group_name_Hall '-P 4 2'
loop_
_atom_site_label
_atom_site_fract_x
_atom_site_fract_y
_atom_site_fract_z
_atom_site_occupancy
Sn1 0.0000 0.0000 0.0000 1
Sb1 0.5000 0.5000 0.5000 1
N1 0.5000 0.5000 0.0000 1
F1 0.0000 0.5000 0.5000 1
```

[3]
# Ca2Ga4HgAu3

Crystalline Ca2Ga4HgAu3 at its relaxed geometry (PBE-GGA, Alexandria).

Energy in eV per formula unit: -31.118
Crystal system: tetragonal
Spin magnetization in μB/f.u.: 0.00
ΔH_f (0 K) in eV per atom: -0.49

Structure (CIF):
```
data_Ca2Ga4HgAu3
_chemical_formula_sum 'Ca2 Ga4 Hg1 Au3'
_cell_length_a 4.4298
_cell_length_b 4.4298
_cell_length_c 10.9345
_cell_angle_alpha 90.00
_cell_angle_beta 90.00
_cell_angle_gamma 90.00
_symmetry_space_group_name_H-M 'P -4 m 2'
_symmetry_Int_Tables_number 115
loop_
_symmetry_equiv_pos_as_xyz
'x,y,z'
'y,-x,-z'
'-x,-y,z'
'-y,x,-z'
'-x,y,z'
'-y,-x,-z'
'x,-y,z'
'y,x,-z'
loop_
_atom_site_label
_atom_site_fract_x
_atom_site_fract_y
_atom_site_fract_z
_atom_site_occupancy
Ca1 0.0000 0.5000 0.2460 1
Ga1 0.0000 0.0000 0.0000 1
Ga2 0.0000 0.5000 0.6395 1
Ga3 0.5000 0.5000 0.0000 1
Hg1 0.0000 0.0000 0.5000 1
Au1 0.0000 0.5000 0.8693 1
Au2 0.5000 0.5000 0.5000 1
```

[4]
# InBrCl

Crystalline InBrCl at its relaxed geometry (PBE-GGA, Alexandria).

Energy in eV per formula unit: -8.808
Crystal system: triclinic
Spin magnetization in μB/f.u.: 0.00

Structure (CIF):
```
data_InBrCl
_chemical_formula_sum 'In2 Br2 Cl2'
_cell_length_a 4.0606
_cell_length_b 6.7657
_cell_length_c 7.3149
_cell_angle_alpha 87.52
_cell_angle_beta 87.96
_cell_angle_gamma 87.71
_symmetry_space_group_name_H-M 'P 1'
_symmetry_Int_Tables_number 1
loop_
_symmetry_equiv_pos_as_xyz
'x,y,z'
loop_
_atom_site_label
_atom_site_fract_x
_atom_site_fract_y
_atom_site_fract_z
_atom_site_occupancy
In1 0.0000 0.0000 0.0000 1
In2 0.4992 0.4920 0.5299 1
Br1 0.0222 0.2526 0.4003 1
Br2 0.5054 0.7148 0.2266 1
Cl1 0.4917 0.2973 0.8269 1
Cl2 0.9774 0.7024 0.6557 1
```

[5]
# TiV2FeS

Crystalline TiV2FeS at its relaxed geometry (PBE-GGA, Alexandria).

Energy in eV per formula unit: -31.756
Crystal system: tetragonal
Spin magnetization in μB/f.u.: 2.13

Structure (CIF):
```
data_TiV2FeS
_chemical_formula_sum 'Ti1 V2 Fe1 S1'
_cell_length_a 4.5262
_cell_length_b 4.5262
_cell_length_c 4.1716
_cell_angle_alpha 90.00
_cell_angle_beta 90.00
_cell_angle_gamma 90.00
_symmetry_space_group_name_H-M 'P 4/m m m'
_symmetry_Int_Tables_number 123
_symmetry_space_group_name_Hall '-P 4 2'
loop_
_atom_site_label
_atom_site_fract_x
_atom_site_fract_y
_atom_site_fract_z
_atom_site_occupancy
Ti1 0.0000 0.0000 0.0000 1
V1 0.0000 0.5000 0.0000 1
Fe1 0.0000 0.0000 0.5000 1
S1 0.5000 0.5000 0.5000 1
```

[6]
# Dy2Ho8Cd

Crystalline Dy2Ho8Cd at its relaxed geometry (PBE-GGA, Alexandria).

Energy in eV per formula unit: -46.810
Crystal system: triclinic
Spin magnetization in μB/f.u.: 0.00
ΔH_f (0 K) in eV per atom: -0.01
Offset from the most stable computed form in eV/atom: 0.0090

Structure (CIF):
```
data_Dy2Ho8Cd
_chemical_formula_sum 'Dy2 Ho8 Cd1'
_cell_length_a 4.9539
_cell_length_b 6.0607
_cell_length_c 12.4920
_cell_angle_alpha 103.54
_cell_angle_beta 90.05
_cell_angle_gamma 114.12
_symmetry_space_group_name_H-M 'P -1'
_symmetry_Int_Tables_number 2
loop_
_symmetry_equiv_pos_as_xyz
'x,y,z'
'-x,-y,-z'
loop_
_atom_site_label
_atom_site_fract_x
_atom_site_fract_y
_atom_site_fract_z
_atom_site_occupancy
Dy1 0.1852 0.3706 0.2662 1
Ho1 0.0911 0.1823 0.6384 1
Ho2 0.2629 0.5257 0.9112 1
Ho3 0.3626 0.7254 0.5478 1
Ho4 0.4610 0.9218 0.1783 1
Cd1 0.0000 0.0000 0.0000 1
```

[7]
# KRb3Pd

Crystalline KRb3Pd at its relaxed geometry (PBE-GGA, Alexandria).

Energy in eV per formula unit: -8.958
Crystal system: monoclinic
Spin magnetization in μB/f.u.: 0.00
ΔH_f (0 K) in eV per atom: 0.05
Offset from the most stable computed form in eV/atom: 0.0000

Structure (CIF):
```
data_KRb3Pd
_chemical_formula_sum 'K2 Rb6 Pd2'
_cell_length_a 11.5433
_cell_length_b 4.9170
_cell_length_c 11.7073
_cell_angle_alpha 90.00
_cell_angle_beta 110.99
_cell_angle_gamma 90.00
_symmetry_space_group_name_H-M 'P 1 21/m 1'
_symmetry_Int_Tables_number 11
loop_
_symmetry_equiv_pos_as_xyz
'x,y,z'
'-x,-y,-z'
'-x,y+1/2,-z'
'x,-y+1/2,z'
loop_
_atom_site_label
_atom_site_fract_x
_atom_site_fract_y
_atom_site_fract_z
_atom_site_occupancy
K1 0.0885 0.2500 0.3790 1
Rb1 0.2255 0.2500 0.9824 1
Rb2 0.3310 0.7500 0.7409 1
Rb3 0.3928 0.7500 0.3057 1
Pd1 0.4875 0.7500 0.0358 1
```

[8]
# LaGa2CoSn

Crystalline LaGa2CoSn at its relaxed geometry (PBE-GGA, Alexandria).

Energy in eV per formula unit: -23.840
Crystal system: tetragonal
Spin magnetization in μB/f.u.: 0.00
ΔH_f (0 K) in eV per atom: -0.35

Structure (CIF):
```
data_LaGa2CoSn
_chemical_formula_sum 'La1 Ga2 Co1 Sn1'
_cell_length_a 4.7226
_cell_length_b 4.7226
_cell_length_c 5.0457
_cell_angle_alpha 90.00
_cell_angle_beta 90.00
_cell_angle_gamma 90.00
_symmetry_space_group_name_H-M 'P 4/m m m'
_symmetry_Int_Tables_number 123
_symmetry_space_group_name_Hall '-P 4 2'
loop_
_atom_site_label
_atom_site_fract_x
_atom_site_fract_y
_atom_site_fract_z
_atom_site_occupancy
La1 0.0000 0.0000 0.0000 1
Ga1 0.0000 0.5000 0.5000 1
Co1 0.0000 0.0000 0.5000 1
Sn1 0.5000 0.5000 0.0000 1
```

[9]
# Pm2NdTaO8

Crystalline Pm2NdTaO8 at its relaxed geometry (PBE-GGA, Alexandria).

Energy in eV per formula unit: -99.661
Crystal system: orthorhombic
Spin magnetization in μB/f.u.: 2.01

Structure (CIF):
```
data_Pm2NdTaO8
_chemical_formula_sum 'Pm2 Nd1 Ta1 O8'
_cell_length_a 3.8402
_cell_length_b 5.5834
_cell_length_c 7.5705
_cell_angle_alpha 90.00
_cell_angle_beta 90.00
_cell_angle_gamma 90.00
_symmetry_space_group_name_H-M 'P m m m'
_symmetry_Int_Tables_number 47
loop_
_symmetry_equiv_pos_as_xyz
'x,y,z'
'-x,-y,-z'
'-x,-y,z'
'x,y,-z'
'x,-y,-z'
'-x,y,z'
'-x,y,-z'
'x,-y,z'
loop_
_atom_site_label
_atom_site_fract_x
_atom_site_fract_y
_atom_site_fract_z
_atom_site_occupancy
Pm1 0.0000 0.0000 0.2504 1
Nd1 0.5000 0.5000 0.0000 1
Ta1 0.5000 0.5000 0.5000 1
O1 0.0000 0.2431 0.0000 1
O2 0.0000 0.2955 0.5000 1
O3 0.5000 0.2659 0.2900 1
```

[10]
# NaCdI3

Crystalline NaCdI3 at its relaxed geometry (PBE-GGA, Alexandria).

Energy in eV per formula unit: -10.037
Crystal system: cubic
Spin magnetization in μB/f.u.: 0.00
Offset from the most stable computed form in eV/atom: 0.2139

Structure (CIF):
```
data_NaCdI3
_chemical_formula_sum 'Na1 Cd1 I3'
_cell_length_a 5.9576
_cell_length_b 5.9576
_cell_length_c 5.9576
_cell_angle_alpha 90.00
_cell_angle_beta 90.00
_cell_angle_gamma 90.00
_symmetry_space_group_name_H-M 'P m -3 m'
_symmetry_Int_Tables_number 221
_symmetry_space_group_name_Hall '-P 4 2 3'
loop_
_atom_site_label
_atom_site_fract_x
_atom_site_fract_y
_atom_site_fract_z
_atom_site_occupancy
Na1 0.0000 0.0000 0.0000 1
Cd1 0.5000 0.5000 0.5000 1
I1 0.0000 0.5000 0.5000 1
```

[11]
# Er3SnTe

Crystalline Er3SnTe at its relaxed geometry (PBE-GGA, Alexandria).

Energy in eV per formula unit: -24.565
Crystal system: monoclinic
Spin magnetization in μB/f.u.: 0.00

Structure (CIF):
```
data_Er3SnTe
_chemical_formula_sum 'Er6 Sn2 Te2'
_cell_length_a 8.5301
_cell_length_b 4.2434
_cell_length_c 8.5516
_cell_angle_alpha 90.00
_cell_angle_beta 91.82
_cell_angle_gamma 90.00
_symmetry_space_group_name_H-M 'P 1 21/m 1'
_symmetry_Int_Tables_number 11
loop_
_symmetry_equiv_pos_as_xyz
'x,y,z'
'-x,-y,-z'
'-x,y+1/2,-z'
'x,-y+1/2,z'
loop_
_atom_site_label
_atom_site_fract_x
_atom_site_fract_y
_atom_site_fract_z
_atom_site_occupancy
Er1 0.0007 0.2500 0.1495 1
Er2 0.3594 0.7500 0.6236 1
Er3 0.3628 0.7500 0.1179 1
Sn1 0.2641 0.2500 0.8671 1
Te1 0.2860 0.2500 0.3729 1
```

[12]
# TeAuF3

Crystalline TeAuF3 at its relaxed geometry (PBE-GGA, Alexandria).

Energy in eV per formula unit: -15.850
Crystal system: cubic
Spin magnetization in μB/f.u.: 0.00
Offset from the most stable computed form in eV/atom: 0.0000

Structure (CIF):
```
data_TeAuF3
_chemical_formula_sum 'Te1 Au1 F3'
_cell_length_a 4.5088
_cell_length_b 4.5088
_cell_length_c 4.5088
_cell_angle_alpha 90.00
_cell_angle_beta 90.00
_cell_angle_gamma 90.00
_symmetry_space_group_name_H-M 'P m -3 m'
_symmetry_Int_Tables_number 221
_symmetry_space_group_name_Hall '-P 4 2 3'
loop_
_atom_site_label
_atom_site_fract_x
_atom_site_fract_y
_atom_site_fract_z
_atom_site_occupancy
Te1 0.0000 0.0000 0.0000 1
Au1 0.5000 0.5000 0.5000 1
F1 0.0000 0.0000 0.5000 1
```